ReAs2Au | the Alexandria database | PBE | relaxed; crystal system = monoclinic; E above lowest polymorph = 202 meV per atom; ΔH_f (0 K) = 386 meV/atom; total moment = 0.000 μB/atom
1.0
5.647 0.080 -0.103
4.720 3.100 -0.103
0.694 0.213 4.204
Re As Au
1 2 1
Direct
0.279 0.279 0.243
0.955 0.955 0.049
0.738 0.738 0.711
0.529 0.529 0.497